(1)
NpGaRh4: optimized geometry, PBE.

Computed properties:
VASP energy = -0.57538 Ry per atom
symmetry = P4/mmm (123)
magnetic moment = 1.2 Bohr magnetons per cell

a = 3.957 Å, b = 3.957 Å, c = 6.753 Å
α = 90.00°, β = 90.00°, γ = 90.00°
Element x y z (fractional)
Np: 0.000 0.000 0.000
Ga: 0.500 0.500 0.500
Rh: 0.000 0.500 0.260
Rh: 0.000 0.500 0.740
Rh: 0.500 0.000 0.260
Rh: 0.500 0.000 0.740

---

(2)
NpGaRh2: optimized geometry, PBE.

Computed properties:
VASP energy = -0.59363 Ry per atom
symmetry = P4/mmm (123)
magnetic moment = 3.6 Bohr magnetons per cell

a = 4.380 Å, b = 4.380 Å, c = 3.591 Å
α = 90.00°, β = 90.00°, γ = 90.00°
Element x y z (fractional)
Np: 0.000 0.000 0.000
Ga: 0.500 0.500 0.000
Rh: 0.000 0.500 0.500
Rh: 0.500 0.000 0.500

---

no.,ΔE_f (eV per atom)
1,-0.27
2,-0.41